# NaMnNbN3 PBE relaxed
# - Space group: P2_1/m, No. 11
# - ΔE_f (raw): -0.481 eV/atom
# - Crystal system: monoclinic
# - Calculated volume: 14.55 A^3/atom
# - VASP energy: -8.070 eV per atom
data_NaMnNbN3
_cell_length_a 6.643
_cell_length_b 3.193
_cell_length_c 8.804
_cell_angle_alpha 90.00
_cell_angle_beta 110.81
_cell_angle_gamma 90.00
_symmetry_space_group_name_H-M 'P 1'
_symmetry_Int_Tables_number 1
loop_
_symmetry_equiv_pos_as_xyz
'x,y,z'
loop_
_atom_site_label
_atom_site_fract_x
_atom_site_fract_y
_atom_site_fract_z
_atom_site_occupancy
Na1 0.195 0.250 0.168 1
Na2 0.805 0.750 0.832 1
Mn1 0.051 0.250 0.609 1
Mn2 0.949 0.750 0.391 1
Nb1 0.324 0.750 0.871 1
Nb2 0.676 0.250 0.129 1
N1 0.102 0.250 0.834 1
N2 0.181 0.750 0.591 1
N3 0.443 0.750 0.113 1
N4 0.557 0.250 0.887 1
N5 0.819 0.250 0.409 1
N6 0.898 0.750 0.166 1